Computed, not measured: an optimized crystal structure of Th5Hg6 at the PBE-GGA level of DFT.

As for the formation energy from the elements: -123.2 meV per atom.

The space group is Immm (No. 71) and the conventional cell measures 5.3038, 7.7857 and 15.2198 Å, with angles of 90.00, 90.00 and 90.00 degrees. Symmetry generates all atoms from Th at (0.0000, 0.0000, 0.0000), Th at (0.0000, 0.0000, 0.3094), Th at (0.0000, 0.5000, 0.3509), Hg at (0.0000, 0.1953, 0.5000) and Hg at (0.0000, 0.2859, 0.1521).